An optimized crystal structure of Lu3CdB. Source: Alexandria via LeMat-Bulk, functional PBE-GGA.

As for the energy relative to the elements: -0.144 eV/atom. The raw total energy comes out at -21.874 eV/f.u. The crystal system is cubic. For the calculated volume, the calculation gives 120 Å³ per cell.

a = 4.9392 Å, b = 4.9392 Å, c = 4.9392 Å
α = 90.00°, β = 90.00°, γ = 90.00°
Closest atoms and distances in Å follow each position.
Sites, in units of the cell vectors:
B: 0.0000 0.0000 0.0000  6 Lu 2.47
Lu: 0.0000 0.5000 0.0000  2 B 2.47
Lu: 0.0000 0.0000 0.5000  2 B 2.47
Lu: 0.5000 0.0000 0.0000  2 B 2.47
Cd: 0.5000 0.5000 0.5000  12 Lu 3.49



An optimized crystal structure of MgCdB. Source: Alexandria via LeMat-Bulk, functional PBE-GGA.

As for the energy relative to the elements: 0.010 eV/atom. The raw total energy comes out at -9.159 eV/f.u. The crystal system is monoclinic. For the calculated volume, the calculation gives 92 Å³ per cell.

a = 3.6895 Å, b = 3.1461 Å, c = 8.1587 Å
α = 90.00°, β = 103.48°, γ = 90.00°
Closest atoms and distances in Å follow each position.
Sites, in units of the cell vectors:
Mg: 0.9186 0.2500 0.3385  6 B 2.44-2.61
Mg: 0.0814 0.7500 0.6615  6 B 2.44-2.61
B: 0.5211 0.2500 0.5402  2 B 1.70
B: 0.4789 0.7500 0.4598  2 B 1.70
Cd: 0.6950 0.2500 0.8873  1 B 2.75, 4 Cd 3.00-3.03, 4 Mg 3.01-3.02
Cd: 0.3050 0.7500 0.1127  1 B 2.75, 4 Cd 3.00-3.03, 4 Mg 3.01-3.02



An optimized crystal structure of Mg3CdB. Source: Alexandria via LeMat-Bulk, functional PBE-GGA.

As for the energy relative to the elements: 0.147 eV/atom. The raw total energy comes out at -11.642 eV/f.u. The crystal system is cubic. For the calculated volume, the calculation gives 98 Å³ per cell.

a = 4.6157 Å, b = 4.6157 Å, c = 4.6157 Å
α = 90.00°, β = 90.00°, γ = 90.00°
Closest atoms and distances in Å follow each position.
Sites, in units of the cell vectors:
Mg: 0.0000 0.5000 0.0000  2 B 2.31
Mg: 0.0000 0.0000 0.5000  2 B 2.31
Mg: 0.5000 0.0000 0.0000  2 B 2.31
B: 0.0000 0.0000 0.0000  6 Mg 2.31
Cd: 0.5000 0.5000 0.5000  12 Mg 3.26



An optimized crystal structure of MgCdB3. Source: Alexandria via LeMat-Bulk, functional PBE-GGA.

As for the energy relative to the elements: 2.115 eV/atom. The raw total energy comes out at -11.968 eV/f.u. The crystal system is cubic. For the calculated volume, the calculation gives 84 Å³ per cell.

a = 4.3719 Å, b = 4.3719 Å, c = 4.3719 Å
α = 90.00°, β = 90.00°, γ = 90.00°
Closest atoms and distances in Å follow each position.
Sites, in units of the cell vectors:
Mg: 0.0000 0.0000 0.0000  6 B 2.19
B: 0.0000 0.5000 0.0000  2 Mg 2.19
B: 0.0000 0.0000 0.5000  2 Mg 2.19
B: 0.5000 0.0000 0.0000  2 Mg 2.19
Cd: 0.5000 0.5000 0.5000  12 B 3.09



An optimized crystal structure of MgCdB. Source: Alexandria via LeMat-Bulk, functional PBE-GGA.

As for the energy relative to the elements: -0.069 eV/atom. The raw total energy comes out at -9.394 eV/f.u. The crystal system is monoclinic. For the calculated volume, the calculation gives 187 Å³ per cell.

a = 10.9361 Å, b = 3.1649 Å, c = 5.4746 Å
α = 90.00°, β = 100.11°, γ = 90.00°
Closest atoms and distances in Å follow each position.
Sites, in units of the cell vectors:
Mg: 0.6518 0.0000 0.0522  6 B 2.44-2.46
Mg: 0.3482 0.0000 0.9478  6 B 2.44-2.46
Mg: 0.6518 0.5000 0.5522  6 B 2.44-2.46
Mg: 0.3482 0.5000 0.4478  6 B 2.44-2.46
B: 0.4991 0.0000 0.3330  3 B 1.83
B: 0.5009 0.0000 0.6670  3 B 1.83
B: 0.4991 0.5000 0.8330  3 B 1.83
B: 0.5009 0.5000 0.1670  3 B 1.83
Cd: 0.8818 0.0000 0.7890  3 Mg 3.06-3.11, 9 Cd 3.12-3.16
Cd: 0.1182 0.0000 0.2110  3 Mg 3.06-3.11, 9 Cd 3.12-3.16
Cd: 0.8818 0.5000 0.2890  3 Mg 3.06-3.11, 9 Cd 3.12-3.16
Cd: 0.1182 0.5000 0.7110  3 Mg 3.06-3.11, 9 Cd 3.12-3.16



An optimized crystal structure of Mg6CdB. Source: Alexandria via LeMat-Bulk, functional PBE-GGA.

As for the energy relative to the elements: 0.297 eV/atom. The raw total energy comes out at -14.784 eV/f.u. The crystal system is orthorhombic. For the calculated volume, the calculation gives 165 Å³ per cell.

a = 6.7103 Å, b = 6.7103 Å, c = 4.5886 Å
α = 90.00°, β = 90.00°, γ = 126.85°
Closest atoms and distances in Å follow each position.
Sites, in units of the cell vectors:
Mg: 0.1708 0.3721 0.0000  2 B 2.68, 3 Mg 2.74-2.96
Mg: 0.6279 0.8292 0.0000  2 B 2.68, 3 Mg 2.74-2.96
Mg: 0.6675 0.3325 0.0000  8 Mg 2.95-3.22, 2 Cd 3.00
Mg: 0.3182 0.1811 0.5000  1 B 2.43
Mg: 0.8189 0.6818 0.5000  1 B 2.43
Mg: 0.8226 0.1774 0.5000  6 Mg 2.95-2.96, 2 B 3.18
Cd: 0.1652 0.8348 0.0000  8 Mg 2.98-3.13
B: 0.4089 0.5911 0.5000  6 Mg 2.43-2.68



What is the formula in the fourth record?
MgCdB3